VASP calculation (PBE-GGA) on crystalline Li6Ag5Hg at its relaxed geometry.

Computed properties:
As for the symmetry: No. 65. The energy comes out at -2.410 eV/atom. The calculation puts the mass density at 6.64 Mg/m³. For the formation energy, the calculation gives -0.240 eV per atom.

Cell lengths 7.2163, 7.2163, 6.2612 Å; angles 90.00, 90.00, 143.15 degrees
Closest atoms and distances in Å follow each position.
Sites, in units of the cell vectors:
Li (0.0000, 0.0000, 0.2477)  6 Ag 2.75-2.81, 2 Hg 2.77
Li (0.0000, 0.0000, 0.7523)  6 Ag 2.75-2.81, 2 Hg 2.77
Li (0.3326, 0.6674, 0.2472)  7 Ag 2.73-2.78, 1 Hg 2.79
Li (0.3326, 0.6674, 0.7528)  7 Ag 2.73-2.78, 1 Hg 2.79
Li (0.6674, 0.3326, 0.2472)  7 Ag 2.73-2.78, 1 Hg 2.79
Li (0.6674, 0.3326, 0.7528)  7 Ag 2.73-2.78, 1 Hg 2.79
Ag (0.1662, 0.8338, 0.0000)  8 Li 2.75-2.76
Ag (0.1699, 0.8301, 0.5000)  8 Li 2.73-2.81
Ag (0.5000, 0.5000, 0.0000)  8 Li 2.76-2.77
Ag (0.8301, 0.1699, 0.5000)  8 Li 2.73-2.81
Ag (0.8338, 0.1662, 0.0000)  8 Li 2.75-2.76
Hg (0.5000, 0.5000, 0.5000)  8 Li 2.77-2.79